Entry 1:
{"formula": "NaCd2Rh2", "functional": "meta-GGA SCAN", "state": "single point on PBEsol structure", "lattice_angstrom": [[-2.5375, 0.2287, -1.4607], [-2.9638, -5.8719, 4.2293], [-2.5910, 5.1284, 5.3044]], "species": ["Na", "Na", "Rh", "Rh", "Rh", "Rh", "Cd", "Cd", "Cd", "Cd"], "frac_coords": [[0.0000, 0.0000, 0.0000], [0.0000, 0.5000, 0.5000], [0.0000, 0.3837, 0.8837], [0.0000, 0.8837, 0.6163], [0.0000, 0.6163, 0.1163], [0.0000, 0.1163, 0.3837], [0.5000, 0.1781, 0.6781], [0.5000, 0.6781, 0.8219], [0.5000, 0.8219, 0.3219], [0.5000, 0.3219, 0.1781]], "spacegroup": "No. 127"}

Entry 2:
{"formula": "SrMo2Au", "functional": "meta-GGA SCAN", "state": "single point on PBEsol structure", "lattice_angstrom": [[2.7489, 0.0000, 0.0000], [0.0000, 2.7489, 0.0000], [0.0000, 0.0000, 9.7549]], "species": ["Au", "Mo", "Mo", "Sr"], "frac_coords": [[0.5000, 0.5000, 0.5000], [0.0000, 0.0000, 0.7188], [0.0000, 0.0000, 0.2812], [0.5000, 0.5000, 0.0000]], "spacegroup": "No. 123", "polymorph_energy_ev_per_atom": 0.214}

Formation enthalpy at 0 K
In order: -9, 312
Unit: kJ/mol of formula units